VASP calculation (GGA-PBE) on an optimized crystal structure of Ba3Cd4Pd2.

Calculated values
As for the formation enthalpy at 0 K: -0.404 eV/atom. Its density is 6.45 g cm⁻³. The symmetry is No. 12.

a b c (Å): 5.1821 6.3965 9.5680
angles (deg): 105.87 90.00 113.90
Closest atoms and distances in Å follow each position.
Fractional positions:
Ba 0.6288 0.2576 0.6848  4 Pd 3.35-3.60, 8 Cd 3.46-3.75
Ba 0.0000 0.0000 0.0000  8 Cd 3.55-3.86
Ba 0.3712 0.7425 0.3152  4 Pd 3.35-3.60, 8 Cd 3.46-3.75
Cd 0.7197 0.4394 0.0738  1 Pd 2.76
Cd 0.2803 0.5606 0.9262  1 Pd 2.76
Cd 0.8861 0.7722 0.5770  3 Pd 2.84-2.94
Cd 0.1139 0.2278 0.4230  3 Pd 2.84-2.94
Pd 0.6621 0.3242 0.3336  4 Cd 2.76-2.94
Pd 0.3379 0.6758 0.6664  4 Cd 2.76-2.94